Density functional theory data (PBE) for a geometry-optimized Sm3TmSb3 structure.

a = 8.142 Å, b = 8.142 Å, c = 8.142 Å
α = 67.58°, β = 67.58°, γ = 67.58°
Fractional positions:
Sm1 0.091 0.346 0.823
Sm2 0.177 0.909 0.654
Sm3 0.346 0.823 0.091
Sm4 0.654 0.177 0.909
Sm5 0.823 0.091 0.346
Sm6 0.909 0.654 0.177
Tm1 0.333 0.333 0.333
Tm2 0.667 0.667 0.667
Sb1 0.075 0.693 0.471
Sb2 0.307 0.529 0.925
Sb3 0.471 0.075 0.693
Sb4 0.529 0.925 0.307
Sb5 0.693 0.471 0.075
Sb6 0.925 0.307 0.529

Calculated values
Its relative energy among the computed polymorphs is 93 meV per atom. The space group is No. 148. The value obtained for the energy relative to the elements, uncorrected is -6.42 eV per formula unit. The calculation puts the density of states at the Fermi level at 5.03 states/eV/f.u.